No. 1
DFT (PBE) results for a relaxed YTl2InF6 crystal.

a b c (Å): 6.8513 6.8527 6.5651
angles (deg): 58.47 58.48 59.93
Last column: nearest neighbours and their distance in Å.
Fractional coordinates of all 10 atoms:
1 F 0.6356 0.1229 0.8016  1 Y 2.20
2 F 0.9971 0.5123 0.2992  1 Y 2.20
3 F 0.1911 0.9975 0.3038  1 Y 2.20
4 F 0.4400 0.6355 0.7989  1 Y 2.20
5 F 0.1237 0.4385 0.8015  1 Y 2.20
6 F 0.5103 0.1923 0.3006  1 Y 2.20
7 Y 0.3161 0.3161 0.0518  6 F 2.20
8 In 0.8160 0.8157 0.5523  6 F 2.74
9 Tl 0.5554 0.5555 0.3342  6 F 2.78-3.02
10 Tl 0.0763 0.0753 0.7713  6 F 2.77-3.05

Calculated values
E_form (uncorrected)	-26.67	eV/f.u.
spin magnetization	0.00	Bohr magnetons per cell
calculated total energy	-5.183	eV/atom

=====

No. 2
DFT (PBE) results for a relaxed YTl2InF crystal.

a b c (Å): 5.6255 6.0107 5.6255
angles (deg): 90.00 90.00 90.00
Last column: nearest neighbours and their distance in Å.
Fractional coordinates of all 5 atoms:
1 Tl 0.5000 0.0000 0.0000  2 In 2.81
2 Tl 0.0000 0.0000 0.5000  2 In 2.81
3 F 0.5000 0.5000 0.5000  4 Y 3.98, 8 Tl 4.12
4 Y 0.0000 0.5000 0.0000  2 In 3.01
5 In 0.0000 0.0000 0.0000  4 Tl 2.81, 2 Y 3.01

Calculated values
E_form (uncorrected)	0.28	eV/f.u.
spin magnetization	0.86	Bohr magnetons per cell
calculated total energy	-3.106	eV/atom

=====

No. 3
DFT (PBE) results for a relaxed Tl3Zn2InF8 crystal.

a b c (Å): 6.3027 6.3027 8.3819
angles (deg): 90.00 90.00 120.00
Last column: nearest neighbours and their distance in Å.
Fractional coordinates of all 14 atoms:
1 F 0.6623 0.8311 0.2728  1 Zn 1.93
2 F 0.6667 0.3333 0.0412  1 Zn 1.92
3 F 0.3333 0.6667 0.9588  1 Zn 1.92
4 F 0.8311 0.1689 0.7272  1 Zn 1.93
5 F 0.8311 0.6623 0.7272  1 Zn 1.93
6 F 0.1689 0.8311 0.2728  1 Zn 1.93
7 F 0.3377 0.1689 0.7272  1 Zn 1.93
8 F 0.1689 0.3377 0.2728  1 Zn 1.93
9 Zn 0.6667 0.3333 0.8124  4 F 1.92-1.93
10 Zn 0.3333 0.6667 0.1876  4 F 1.92-1.93
11 Tl 0.3333 0.6667 0.6712  1 F 2.41
12 Tl 0.0000 0.0000 0.0000  6 F 2.94
13 Tl 0.6667 0.3333 0.3288  1 F 2.41
14 In 0.0000 0.0000 0.5000  6 F 2.65

Calculated values
E_form (uncorrected)	-27.38	eV/f.u.
spin magnetization	0.00	Bohr magnetons per cell
calculated total energy	-3.910	eV/atom

=====

No. 4
DFT (PBE) results for a relaxed Tl3Zn2InF9 crystal.

a b c (Å): 6.1052 6.1052 7.5294
angles (deg): 90.00 90.00 120.00
Last column: nearest neighbours and their distance in Å.
Fractional coordinates of all 15 atoms:
1 F 0.0000 0.5000 0.0000  2 Zn 2.12
2 F 0.1750 0.3500 0.3183  1 Zn 2.07, 1 In 2.30
3 F 0.5000 0.0000 0.0000  2 Zn 2.12
4 F 0.3500 0.1750 0.6817  1 Zn 2.07, 1 In 2.30
5 F 0.8250 0.1750 0.6817  1 Zn 2.07, 1 In 2.30
6 F 0.5000 0.5000 0.0000  2 Zn 2.12
7 F 0.8250 0.6500 0.6817  1 Zn 2.07, 1 In 2.30
8 F 0.1750 0.8250 0.3183  1 Zn 2.07, 1 In 2.30
9 F 0.6500 0.8250 0.3183  1 Zn 2.07, 1 In 2.30
10 Tl 0.0000 0.0000 0.0000  12 F 3.03-3.05
11 Tl 0.6667 0.3333 0.3226  12 F 3.00-3.18
12 Tl 0.3333 0.6667 0.6774  12 F 3.00-3.18
13 In 0.0000 0.0000 0.5000  6 F 2.30
14 Zn 0.3333 0.6667 0.1559  6 F 2.07-2.12
15 Zn 0.6667 0.3333 0.8441  6 F 2.07-2.12

Calculated values
E_form (uncorrected)	-30.69	eV/f.u.
spin magnetization	0.62	Bohr magnetons per cell
calculated total energy	-3.995	eV/atom